1.
Crystalline Zr2Ti2C3 at its relaxed geometry, computed with PBE-GGA.

Output
The value obtained for the calculated density is 5.514 g/cm³. The calculation puts the formation energy at -0.77 eV per atom.

a = 5.682 Å, b = 5.682 Å, c = 5.494 Å
α = 103.68°, β = 103.68°, γ = 33.40°
Positions (direct):
Zr 0.119 0.119 0.364
Zr 0.881 0.881 0.636
Ti 0.356 0.356 0.147
Ti 0.644 0.644 0.853
C 0.249 0.249 0.763
C 0.500 0.500 0.500
C 0.751 0.751 0.237

=====

2.
Crystalline Ga2HgPd2 at its relaxed geometry, computed with PBE-GGA.

Output
The value obtained for the calculated density is 9.829 g/cm³. The calculation puts the formation energy at -0.26 eV per atom. The value obtained for the energy relative to the lowest polymorph listed for this composition is 0.668 eV per formula unit.

a = 6.347 Å, b = 6.347 Å, c = 6.347 Å
α = 142.67°, β = 142.67°, γ = 53.82°
Positions (direct):
Ga 0.113 0.113 0.000
Ga 0.887 0.887 0.000
Hg 0.500 0.500 0.000
Pd 0.250 0.750 0.500
Pd 0.750 0.250 0.500

=====

3.
Crystalline GaIrRh4 at its relaxed geometry, computed with PBE-GGA.

Output
The value obtained for the calculated density is 12.472 g/cm³. The calculation puts the formation energy at -0.04 eV per atom.

a = 8.565 Å, b = 7.795 Å, c = 5.256 Å
α = 79.44°, β = 63.46°, γ = 37.10°
Positions (direct):
Ga 0.125 0.125 0.125
Ga 0.875 0.875 0.875
Ir 0.375 0.375 0.375
Ir 0.625 0.625 0.625
Rh 0.031 0.525 0.221
Rh 0.221 0.723 0.031
Rh 0.277 0.779 0.475
Rh 0.475 0.969 0.277
Rh 0.525 0.031 0.723
Rh 0.723 0.221 0.525
Rh 0.779 0.277 0.969
Rh 0.969 0.475 0.779

=====

4.
Crystalline CeIn3Rh2 at its relaxed geometry, computed with PBE-GGA.

Output
The value obtained for the calculated density is 8.540 g/cm³. The calculation puts the formation energy at -0.41 eV per atom.

a = 8.618 Å, b = 8.618 Å, c = 11.624 Å
α = 107.39°, β = 107.39°, γ = 29.37°
Positions (direct):
Ce 0.000 0.000 0.000
Ce 0.168 0.168 0.745
Ce 0.832 0.832 0.255
In 0.040 0.040 0.338
In 0.227 0.227 0.386
In 0.328 0.328 0.027
In 0.386 0.386 0.805
In 0.500 0.500 0.500
In 0.614 0.614 0.195
In 0.672 0.672 0.973
In 0.773 0.773 0.614
In 0.960 0.960 0.662
Rh 0.199 0.199 0.136
Rh 0.365 0.365 0.567
Rh 0.454 0.454 0.236
Rh 0.546 0.546 0.764
Rh 0.635 0.635 0.433
Rh 0.801 0.801 0.864